(1)
First-principles (PBE-GGA) data for SeBr3 after structural relaxation, as listed in the Alexandria database.

The structure in POSCAR format:
```
SeBr3
1.0
2.113 1.220 8.689
-2.113 1.220 8.689
0.000 -2.440 8.689
Se Br
1 3
direct
0.000 0.000 0.000
0.396 0.396 0.396
0.500 0.500 0.500
0.604 0.604 0.604
```

- Electronic total energy: -1.76 eV/atom


(2)
First-principles (PBE-GGA) data for Li2HgAs after structural relaxation, as listed in the Alexandria database.

The structure in POSCAR format:
```
Li2HgAs
1.0
-2.061 2.061 4.233
2.061 -2.061 4.233
2.061 2.061 -4.233
Li Hg As
2 1 1
direct
0.000 0.000 0.000
0.750 0.250 0.500
0.500 0.500 0.000
0.250 0.750 0.500
```

- Formation enthalpy at 0 K: -0.349 eV/atom


(3)
First-principles (PBE-GGA) data for Tb2NiRh after structural relaxation, as listed in the Alexandria database.

The structure in POSCAR format:
```
Tb2NiRh
1.0
3.414 0.000 0.000
0.000 3.414 0.000
0.000 0.000 6.869
Tb Ni Rh
2 1 1
direct
0.000 0.000 0.249
0.000 0.000 0.751
0.500 0.500 0.000
0.500 0.500 0.500
```

- Formation enthalpy at 0 K: -0.608 eV/atom


(4)
First-principles (PBE-GGA) data for Er2PS after structural relaxation, as listed in the Alexandria database.

The structure in POSCAR format:
```
Er2PS
1.0
-2.765 2.765 5.575
2.765 -2.765 5.575
2.765 2.765 -5.575
Er P S
4 2 2
direct
0.120 0.370 0.750
0.370 0.120 0.250
0.630 0.880 0.750
0.880 0.630 0.250
0.125 0.875 0.250
0.875 0.125 0.750
0.375 0.625 0.750
0.625 0.375 0.250
```

- Energy above the most stable polymorph in this dataset: 0 meV per atom


The records above give, respectively, total magnetization values of 0.00, 0.00, 0.00, 0.00 Bohr magnetons per cell.